(1)
The following is a PBE calculation of a geometry-optimized Tb3Nd6Cd structure, from Alexandria via LeMat-Bulk.

For the formation energy, the calculation gives -21.3 meV/atom. The density of states at the Fermi level comes out at 28.81 states/eV per cell. The value obtained for the magnetization is 0.00 μB per formula unit. As for the total DFT energy (no corrections): -4.363 eV per atom.

It has space group P2_1/m (No. 11), with a = 11.195 Å, b = 5.138 Å, c = 11.440 Å, α = 90.00°, β = 91.73° and γ = 90.00°. The asymmetric unit holds Tb at (0.050, 0.250, 0.401), Tb at (0.152, 0.750, 0.207), Tb at (0.252, 0.250, 0.009), Nd at (0.050, 0.750, 0.898), Nd at (0.154, 0.250, 0.701), Nd at (0.262, 0.750, 0.506), Nd at (0.347, 0.750, 0.810), Nd at (0.360, 0.250, 0.315), Nd at (0.454, 0.750, 0.107) and Cd at (0.449, 0.250, 0.605).

***

(2)
The following is a PBE calculation of a geometry-optimized CuSbTe2C structure, from Alexandria via LeMat-Bulk.

The energy above the lowest structure with this stoichiometry is 0.563 eV/atom. The density of states at the Fermi level comes out at 5.13 states/eV per cell. The formation energy without anion corrections is 8.6 eV/f.u. The value obtained for the magnetization is 1.15 μB per formula unit. As for the total DFT energy (no corrections): -3.030 eV per atom.

It has space group P4/mmm (No. 123), with a = 5.171 Å, b = 5.171 Å, c = 4.946 Å, α = 90.00°, β = 90.00° and γ = 90.00°. The asymmetric unit holds Cu at (0.000, 0.000, 0.000), Sb at (0.000, 0.000, 0.500), Te at (0.000, 0.500, 0.000) and C at (0.500, 0.500, 0.500).

***

(3)
The following is a PBE calculation of a geometry-optimized GaAgPtPb structure, from Alexandria via LeMat-Bulk.

For the formation energy, the calculation gives -184.1 meV/atom. The energy above the lowest structure with this stoichiometry is 0.000 eV/atom. The density of states at the Fermi level comes out at 3.75 states/eV per cell. The value obtained for the magnetization is 0.00 μB per formula unit. As for the total DFT energy (no corrections): -4.091 eV per atom.

It has space group Amm2 (No. 38), with a = 3.186 Å, b = 3.943 Å, c = 13.791 Å, α = 90.00°, β = 90.00° and γ = 90.00°. The asymmetric unit holds Ga at (0.000, 0.000, 0.000), Ag at (0.000, 0.000, 0.662), Pt at (0.500, 0.000, 0.489) and Pb at (0.500, 0.000, 0.285).

***

(4)
The following is a PBE calculation of a geometry-optimized Tl2WAu structure, from Alexandria via LeMat-Bulk.

For the formation energy, the calculation gives 1037.3 meV/atom. The energy above the lowest structure with this stoichiometry is 0.464 eV/atom. The density of states at the Fermi level comes out at 15.82 states/eV per cell. The value obtained for the magnetization is 0.00 μB per formula unit. As for the total DFT energy (no corrections): -4.203 eV per atom.

It has space group I-42d (No. 122), with a = 4.268 Å, b = 4.268 Å, c = 19.844 Å, α = 90.00°, β = 90.00° and γ = 90.00°. The asymmetric unit holds Tl at (0.238, 0.250, 0.125), W at (0.000, 0.000, 0.000) and Au at (0.000, 0.000, 0.500).

***

(5)
The following is a PBE calculation of a geometry-optimized TaCoIrOs structure, from Alexandria via LeMat-Bulk.

For the formation energy, the calculation gives -347.4 meV/atom. The density of states at the Fermi level comes out at 3.39 states/eV per cell. The value obtained for the magnetization is 0.00 μB per formula unit. As for the total DFT energy (no corrections): -10.110 eV per atom.

It has space group Pmmm (No. 47), with a = 3.813 Å, b = 3.846 Å, c = 3.879 Å, α = 90.00°, β = 90.00° and γ = 90.00°. The asymmetric unit holds Ta at (0.000, 0.000, 0.000), Co at (0.000, 0.500, 0.500), Ir at (0.500, 0.000, 0.500) and Os at (0.500, 0.500, 0.000).

***

(6)
The following is a PBE calculation of a geometry-optimized Y2GaAu6 structure, from Alexandria via LeMat-Bulk.

For the formation energy, the calculation gives -605.9 meV/atom. The density of states at the Fermi level comes out at 8.61 states/eV per cell. The value obtained for the magnetization is 0.00 μB per formula unit. As for the total DFT energy (no corrections): -4.564 eV per atom.

It has space group C2/m (No. 12), with a = 11.008 Å, b = 6.340 Å, c = 5.347 Å, α = 90.00°, β = 90.10° and γ = 90.00°. The asymmetric unit holds Y at (0.166, 0.000, 0.182), Ga at (0.000, 0.500, 0.000), Au at (0.092, 0.226, 0.694) and Au at (0.183, 0.500, 0.305).

***

(7)
The following is a PBE calculation of a geometry-optimized Nb6MoS8 structure, from Alexandria via LeMat-Bulk.

The density of states at the Fermi level comes out at 24.17 states/eV per cell. The formation energy without anion corrections is -10.3 eV/f.u. The value obtained for the magnetization is 3.39 μB per formula unit. As for the total DFT energy (no corrections): -7.639 eV per atom.

It has space group R-3 (No. 148, hexagonal axes), with a = 9.5425 Å, b = 9.5425 Å, c = 11.3362 Å, α = 90.00°, β = 90.00° and γ = 120.00°. The asymmetric unit holds Nb at (0.0188, 0.8365, 0.3843), Mo at (0.0000, 0.0000, 0.0000), S at (0.0000, 0.0000, 0.2165) and S at (0.0178, 0.6365, 0.2432).

***

(8)
The following is a PBE calculation of a geometry-optimized Ca2LaMoRh structure, from Alexandria via LeMat-Bulk.

For the formation energy, the calculation gives 376.7 meV/atom. The density of states at the Fermi level comes out at 4.91 states/eV per cell. The value obtained for the magnetization is 1.20 μB per formula unit. As for the total DFT energy (no corrections): -5.046 eV per atom.

It has space group P4/mmm (No. 123), with a = 5.415 Å, b = 5.415 Å, c = 4.894 Å, α = 90.00°, β = 90.00° and γ = 90.00°. The asymmetric unit holds Ca at (0.000, 0.500, 0.000), La at (0.000, 0.000, 0.500), Mo at (0.500, 0.500, 0.500) and Rh at (0.500, 0.500, 0.000).